A geometry-optimized CrCo2Pb structure, computed with PBE.

Results
As for the formation energy from the elements: 0.53 eV per atom. For the total energy, the calculation gives -6.36 eV/atom.

abc: 8.500 3.148 4.552
angles: 90.00 104.25 90.00
Space group Cm (No. 8)
Asymmetric unit:
Cr 0.000 0.000 0.000
Co 0.234 0.500 0.143
Co 0.476 0.000 0.369
Pb 0.233 0.000 0.643

A geometry-optimized PuCuGe2 structure, computed with PBE.

Results
As for the formation energy from the elements: -0.16 eV per atom. For the total energy, the calculation gives -7.08 eV/atom.

abc: 5.720 9.033 2.876
angles: 90.00 90.00 90.00
Space group Cmmm (No. 65)
Asymmetric unit:
Pu 0.000 0.000 0.000
Cu 0.000 0.500 0.500
Ge 0.250 0.250 0.500